# Pr3Nd2Tm4 (PBE, optimized geometry)
# E above lowest polymorph   0 meV per atom
# Theoretical density   7.6 g cm⁻³
data_Pr3Nd2Tm4
_chemical_formula_sum 'Pr6 Nd4 Tm8'
_cell_length_a 16.9814
_cell_length_b 5.7417
_cell_length_c 6.5403
_cell_angle_alpha 90.00
_cell_angle_beta 108.33
_cell_angle_gamma 90.00
_space_group_name_H-M_alt 'C 1 2/m 1'
_space_group_IT_number 12
loop_
_space_group_symop_operation_xyz
'x,y,z'
'-x,-y,-z'
'-x,y,-z'
'x,-y,z'
'x+1/2,y+1/2,z'
'-x+1/2,-y+1/2,-z'
'-x+1/2,y+1/2,-z'
'x+1/2,-y+1/2,z'
loop_
_atom_site_label
_atom_site_fract_x
_atom_site_fract_y
_atom_site_fract_z
_atom_site_occupancy
Pr1 0.0000 0.0000 0.0000 1
Pr2 0.1332 0.0000 0.5821 1
Nd1 0.1409 0.5000 0.2908 1
Tm1 0.0656 0.5000 0.7487 1
Tm2 0.2279 0.0000 0.1403 1